## Zn2MoAs (PBE)

Data for a relaxed Zn2MoAs crystal.

Summary:
The formation energy comes out at -4.1 kJ/mol of atoms. The size of the total moment is 0.0000 μB per atom.

Unit cell a=3.3469 b=3.3469 c=5.5051 alpha=90.00 beta=90.00 gamma=90.00
Last column: nearest neighbours and their distance in Å.
Space group P4mm (No. 99)
Asymmetric unit:
Zn 0.0000 0.0000 0.0000 x1  4 Zn 2.66, 2 As 2.70-2.81, 4 Mo 2.82
Zn 0.5000 0.5000 0.2188 x1  4 Zn 2.66, 2 Mo 2.74-2.77, 4 As 2.86
Mo 0.5000 0.5000 0.7218 x1  4 As 2.64, 6 Zn 2.74-2.82
As 0.0000 0.0000 0.5101 x1  4 Mo 2.64, 6 Zn 2.70-2.86



## PmTmPdPt (PBE)

Data for a relaxed PmTmPdPt crystal.

Summary:
The formation energy comes out at -97.9 kJ/mol of atoms. The size of the total moment is 0.0000 μB per atom. For the energy above the lowest structure with this stoichiometry, the calculation gives 55 meV/atom.

Unit cell a=7.0524 b=7.0524 c=7.0524 alpha=90.00 beta=90.00 gamma=90.00
Last column: nearest neighbours and their distance in Å.
Space group F-43m (No. 216)
Asymmetric unit:
Pm 0.0000 0.0000 0.0000 x4  4 Pd 3.05, 4 Pt 3.05
Tm 0.0000 0.0000 0.5000 x4  4 Pt 3.05, 4 Pd 3.05
Pd 0.2500 0.2500 0.7500 x4  4 Pm 3.05, 4 Tm 3.05
Pt 0.2500 0.2500 0.2500 x4  4 Pm 3.05, 4 Tm 3.05



## MgGe3As (PBE)

Data for a relaxed MgGe3As crystal.

Summary:
The formation energy comes out at 59.5 kJ/mol of atoms. The size of the total moment is 0.0000 μB per atom. For the energy above the lowest structure with this stoichiometry, the calculation gives 0 meV/atom.

Unit cell a=5.0566 b=5.0566 c=5.0566 alpha=90.00 beta=90.00 gamma=90.00
Last column: nearest neighbours and their distance in Å.
Space group Pm-3m (No. 221)
Asymmetric unit:
Mg 0.0000 0.0000 0.0000 x1  12 Ge 3.58
Ge 0.0000 0.5000 0.5000 x3  2 As 2.53
As 0.5000 0.5000 0.5000 x1  6 Ge 2.53



## DySbRh2 (PBE)

Data for a relaxed DySbRh2 crystal.

Summary:
The raw formation energy is -762 meV/atom. The size of the total moment is 0.0000 μB per atom.

Unit cell a=5.0368 b=4.5716 c=6.7465 alpha=90.00 beta=98.35 gamma=90.00
Last column: nearest neighbours and their distance in Å.
Space group P2_1/m (No. 11)
Asymmetric unit:
Dy 0.1914 0.2500 0.2231 x2  5 Rh 2.74-2.99
Sb 0.2838 0.2500 0.7213 x2  7 Rh 2.73-3.05
Rh 0.2888 0.7500 0.4985 x2  4 Sb 2.74-3.05, 3 Dy 2.94-2.99, 1 Rh 2.98
Rh 0.3389 0.7500 0.9434 x2  3 Sb 2.73, 2 Dy 2.74-2.76, 3 Rh 2.84-2.98



## KMo2Br (PBE)

Data for a relaxed KMo2Br crystal.

Summary:
The raw formation energy is 990 meV/atom. The size of the total moment is 0.2782 μB per atom. For the energy above the lowest structure with this stoichiometry, the calculation gives 741 meV/atom.

Unit cell a=5.4892 b=12.8778 c=3.2594 alpha=90.00 beta=126.09 gamma=90.00
Last column: nearest neighbours and their distance in Å.
Space group C2/m (No. 12)
Asymmetric unit:
K 0.0000 0.0000 0.0000 x2  4 Br 2.74-2.76
Mo 0.2500 0.2500 0.0000 x4  4 Mo 2.74-2.76
Br 0.0000 0.5000 0.0000 x2  4 K 2.74-2.76



## Ce7Ru2Pb (PBE)

Data for a relaxed Ce7Ru2Pb crystal.

Summary:
The formation energy comes out at -8.3 kJ/mol of atoms. The size of the total moment is 0.4321 μB per atom.

Unit cell a=9.4335 b=12.7497 c=5.1110 alpha=90.00 beta=90.00 gamma=90.00
Last column: nearest neighbours and their distance in Å.
Space group Cmmm (No. 65)
Asymmetric unit:
Ce 0.0000 0.0000 0.0000 x2  2 Ru 2.52
Ce 0.0000 0.2216 0.5000 x4  2 Ru 2.57
Ce 0.1884 0.3901 0.0000 x8  1 Ce 2.80, 1 Ru 3.03
Ru 0.0000 0.1974 0.0000 x4  3 Ce 2.52-2.57
Pb 0.0000 0.5000 0.5000 x2  10 Ce 3.41-3.55



## TlIn2Co (PBE)

Data for a relaxed TlIn2Co crystal.

Summary:
The formation energy comes out at 48.2 kJ/mol of atoms. The size of the total moment is 0.3753 μB per atom. For the energy above the lowest structure with this stoichiometry, the calculation gives 347 meV/atom.

Unit cell a=5.8926 b=9.1773 c=3.5406 alpha=90.00 beta=109.07 gamma=90.00
Last column: nearest neighbours and their distance in Å.
Space group C2/m (No. 12)
Asymmetric unit:
Tl 0.0000 0.0000 0.0000 x2  2 Co 2.95, 4 In 2.98
In 0.2500 0.2500 0.5000 x4  2 In 2.95, 2 Tl 2.98, 2 Co 2.98
Co 0.0000 0.5000 0.0000 x2  2 Tl 2.95, 4 In 2.98



## AlH3Cl (PBE)

Data for a relaxed AlH3Cl crystal.

Summary:
The size of the total moment is 0.0000 μB per atom. For the energy above the lowest structure with this stoichiometry, the calculation gives 0 meV/atom.

Unit cell a=4.6010 b=4.6048 c=7.5710 alpha=95.83 beta=96.02 gamma=90.09
Last column: nearest neighbours and their distance in Å.
Space group P1 (No. 1)
Asymmetric unit:
Al 0.0000 0.0000 0.0000 x1  4 H 1.71-1.72
Al 0.4969 0.4951 0.9942 x1  5 H 1.58-1.75
H 0.1868 0.2783 0.9244 x1  2 Al 1.72-1.74
H 0.2809 0.7868 0.9328 x1  2 Al 1.71-1.74
H 0.3327 0.3331 0.4779 x1  1 Cl 1.31
H 0.5274 0.5239 0.2045 x1  1 Al 1.58
H 0.6940 0.1858 0.9295 x1  2 Al 1.71-1.75
H 0.7871 0.6930 0.9326 x1  2 Al 1.72-1.74
Cl 0.0367 0.0391 0.2860 x1  1 Al 2.14, 1 H 2.23
Cl 0.5048 0.4967 0.5975 x1  1 H 1.31



E in eV/atom, matching the order above: -4.5496, -6.1281, -3.4029, -6.6190, -5.1177, -6.4655, -3.2374, -3.3786